# 1
Computed, not measured: a relaxed NdErTl2 crystal at the PBE-GGA level of DFT.

Lattice parameters (Å, degrees): 5.109 5.109 4.332 90.00 90.00 90.00
Fractional positions:
Nd 0.000 0.000 0.000
Er 0.500 0.500 0.000
Tl 0.000 0.500 0.500
Tl 0.500 0.000 0.500

Calculated values
Distance to the lowest polymorph of the same formula: 0.07 eV per formula unit
DFT formation energy: -0.34 eV per atom
Theoretical density: 10578 kg/m3
Crystal system: tetragonal

# 2
Computed, not measured: a relaxed Nd2ErTl crystal at the PBE-GGA level of DFT.

Lattice parameters (Å, degrees): 6.833 8.789 8.204 90.00 90.00 90.00
Fractional positions:
Nd 0.250 0.049 0.250
Nd 0.250 0.451 0.250
Nd 0.250 0.549 0.750
Nd 0.250 0.951 0.750
Nd 0.750 0.049 0.250
Nd 0.750 0.451 0.250
Nd 0.750 0.549 0.750
Nd 0.750 0.951 0.750
Er 0.000 0.250 0.566
Er 0.000 0.750 0.434
Er 0.500 0.250 0.934
Er 0.500 0.750 0.066
Tl 0.000 0.250 0.948
Tl 0.000 0.750 0.052
Tl 0.500 0.250 0.552
Tl 0.500 0.750 0.448

Calculated values
Distance to the lowest polymorph of the same formula: 0.00 eV per formula unit
DFT formation energy: -0.17 eV per atom
Theoretical density: 8899 kg/m3
Crystal system: orthorhombic

# 3
Computed, not measured: a relaxed Nd7Er3Tl crystal at the PBE-GGA level of DFT.

Lattice parameters (Å, degrees): 7.104 7.104 8.618 90.00 90.00 120.00
Fractional positions:
Nd 0.000 0.000 0.000
Nd 0.164 0.328 0.342
Nd 0.164 0.836 0.342
Nd 0.502 0.004 0.006
Nd 0.502 0.498 0.006
Nd 0.672 0.836 0.342
Nd 0.996 0.498 0.006
Er 0.332 0.166 0.672
Er 0.834 0.166 0.672
Er 0.834 0.668 0.672
Tl 0.667 0.333 0.353

Calculated values
DFT formation energy: 0.13 eV per atom
Theoretical density: 7566 kg/m3
Crystal system: trigonal

# 4
Computed, not measured: a relaxed Nd3Er2Tl4 crystal at the PBE-GGA level of DFT.

Lattice parameters (Å, degrees): 9.660 9.660 6.145 91.18 91.18 73.31
Fractional positions:
Nd 0.104 0.896 0.750
Nd 0.273 0.489 0.588
Nd 0.489 0.273 0.088
Nd 0.511 0.727 0.912
Nd 0.727 0.511 0.412
Nd 0.896 0.104 0.250
Er 0.105 0.341 0.132
Er 0.341 0.105 0.632
Er 0.659 0.895 0.368
Er 0.895 0.659 0.868
Tl 0.026 0.291 0.630
Tl 0.237 0.609 0.070
Tl 0.291 0.026 0.130
Tl 0.391 0.763 0.430
Tl 0.609 0.237 0.570
Tl 0.709 0.974 0.870
Tl 0.763 0.391 0.930
Tl 0.974 0.709 0.370

Calculated values
Distance to the lowest polymorph of the same formula: 0.57 eV per formula unit
DFT formation energy: -0.23 eV per atom
Theoretical density: 9585 kg/m3
Crystal system: monoclinic

# 5
Computed, not measured: a relaxed Nd8ErTl2 crystal at the PBE-GGA level of DFT.

Lattice parameters (Å, degrees): 9.031 9.031 5.839 102.43 102.43 119.85
Fractional positions:
Nd 0.093 0.318 0.616
Nd 0.219 0.781 0.000
Nd 0.318 0.093 0.616
Nd 0.403 0.403 0.205
Nd 0.597 0.597 0.795
Nd 0.682 0.907 0.384
Nd 0.781 0.219 0.000
Nd 0.907 0.682 0.384
Er 0.000 0.000 0.000
Tl 0.306 0.694 0.500
Tl 0.694 0.306 0.500

Calculated values
DFT formation energy: -0.03 eV per atom
Theoretical density: 7702 kg/m3
Crystal system: monoclinic

# 6
Computed, not measured: a relaxed Nd4Er4Tl crystal at the PBE-GGA level of DFT.

Lattice parameters (Å, degrees): 8.007 8.007 8.007 95.41 95.41 144.22
Fractional positions:
Nd 0.162 0.162 0.324
Nd 0.162 0.838 0.000
Nd 0.838 0.162 0.000
Nd 0.838 0.838 0.676
Er 0.162 0.500 0.662
Er 0.500 0.162 0.662
Er 0.500 0.838 0.338
Er 0.838 0.500 0.338
Tl 0.500 0.500 0.000

Calculated values
DFT formation energy: -0.04 eV per atom
Theoretical density: 8434 kg/m3
Crystal system: tetragonal

# 7
Computed, not measured: a relaxed Nd2Er3Tl6 crystal at the PBE-GGA level of DFT.

Lattice parameters (Å, degrees): 12.056 12.056 12.056 151.38 151.38 40.93
Fractional positions:
Nd 0.082 0.082 0.000
Nd 0.918 0.918 0.000
Er 0.361 0.361 0.000
Er 0.500 0.500 0.000
Er 0.639 0.639 0.000
Tl 0.071 0.571 0.500
Tl 0.224 0.224 0.000
Tl 0.429 0.929 0.500
Tl 0.571 0.071 0.500
Tl 0.776 0.776 0.000
Tl 0.929 0.429 0.500

Calculated values
DFT formation energy: 0.17 eV per atom
Theoretical density: 8344 kg/m3
Crystal system: tetragonal

# 8
Computed, not measured: a relaxed NdEr4Tl crystal at the PBE-GGA level of DFT.

Lattice parameters (Å, degrees): 10.887 10.887 6.514 90.00 90.00 150.49
Fractional positions:
Nd 0.063 0.937 0.500
Nd 0.937 0.063 0.000
Er 0.140 0.860 0.013
Er 0.255 0.745 0.378
Er 0.317 0.683 0.856
Er 0.459 0.541 0.675
Er 0.541 0.459 0.175
Er 0.683 0.317 0.356
Er 0.745 0.255 0.878
Er 0.860 0.140 0.513
Tl 0.397 0.603 0.253
Tl 0.603 0.397 0.753

Calculated values
Distance to the lowest polymorph of the same formula: 0.78 eV per formula unit
DFT formation energy: 0.03 eV per atom
Theoretical density: 8887 kg/m3
Crystal system: orthorhombic